[1]
Entry from the Alexandria database: a relaxed Cu4AgCl7 crystal (PBE-GGA).

a b c (Å): 9.4270 9.4270 7.4705
angles (deg): 90.00 90.00 60.72
Last column: nearest neighbours and their distance in Å.
Positions (direct):
Cu 0.0524 0.7226 0.7500  4 Cl 2.27-2.33
Cu 0.2774 0.9476 0.7500  4 Cl 2.27-2.33
Cu 0.3044 0.3044 0.0000  4 Cl 2.29-2.30
Cu 0.3044 0.3044 0.5000  4 Cl 2.29-2.30
Cu 0.6956 0.6956 0.0000  4 Cl 2.29-2.30
Cu 0.6956 0.6956 0.5000  4 Cl 2.29-2.30
Cu 0.7226 0.0524 0.2500  4 Cl 2.27-2.33
Cu 0.9476 0.2774 0.2500  4 Cl 2.27-2.33
Ag 0.2616 0.7384 0.2500  5 Cl 2.68-2.72
Ag 0.7384 0.2616 0.7500  5 Cl 2.68-2.72
Cl 0.0242 0.9758 0.7500  2 Cu 2.27
Cl 0.1876 0.5815 0.0000  2 Cu 2.29
Cl 0.1876 0.5815 0.5000  2 Cu 2.29
Cl 0.2141 0.2300 0.2500  3 Cu 2.30-2.33
Cl 0.2300 0.2141 0.7500  3 Cu 2.30-2.33
Cl 0.4185 0.8124 0.0000  2 Cu 2.29
Cl 0.4185 0.8124 0.5000  2 Cu 2.29
Cl 0.5815 0.1876 0.0000  2 Cu 2.29
Cl 0.5815 0.1876 0.5000  2 Cu 2.29
Cl 0.7700 0.7859 0.2500  3 Cu 2.30-2.33
Cl 0.7859 0.7700 0.7500  3 Cu 2.30-2.33
Cl 0.8124 0.4185 0.0000  2 Cu 2.29
Cl 0.8124 0.4185 0.5000  2 Cu 2.29
Cl 0.9758 0.0242 0.2500  2 Cu 2.27

Output
ρ in g/cm3: 3.50
Formation energy without anion corrections in eV per atom: -0.499
Symmetry: Cmcm (63)
Calculated volume in A^3/atom: 24.129

=====

[2]
Entry from the Alexandria database: a relaxed CuAgCl3 crystal (PBE-GGA).

a b c (Å): 6.6311 6.6311 6.7280
angles (deg): 90.00 90.00 120.00
Last column: nearest neighbours and their distance in Å.
Positions (direct):
Cu 0.0000 0.0000 0.2189  3 Cl 2.19
Cu 0.0000 0.0000 0.7811  3 Cl 2.19
Ag 0.3333 0.6667 0.0000  6 Cl 2.70
Ag 0.6667 0.3333 0.0000  6 Cl 2.70
Cl 0.0000 0.3308 0.7724  1 Cu 2.19
Cl 0.0000 0.6692 0.2276  1 Cu 2.19
Cl 0.3308 0.0000 0.7724  1 Cu 2.19
Cl 0.3308 0.3308 0.2276  1 Cu 2.19
Cl 0.6692 0.0000 0.2276  1 Cu 2.19
Cl 0.6692 0.6692 0.7724  1 Cu 2.19

Output
ρ in g/cm3: 3.60
Relative energy among the computed polymorphs in meV/atom: 27
Formation energy without anion corrections in eV per atom: -0.431
Symmetry: P-31m (162)
Calculated volume in A^3/atom: 25.620

=====

[3]
Entry from the Alexandria database: a relaxed Cu5AgCl8 crystal (PBE-GGA).

a b c (Å): 7.3829 7.3829 7.3829
angles (deg): 60.00 60.00 60.00
Last column: nearest neighbours and their distance in Å.
Positions (direct):
Cu 0.0000 0.0000 0.0000  4 Cl 2.37
Cu 0.1239 0.6254 0.6254  6 Cl 2.48-2.54
Cu 0.6254 0.1239 0.6254  6 Cl 2.48-2.54
Cu 0.6254 0.6254 0.1239  6 Cl 2.48-2.54
Cu 0.6254 0.6254 0.6254  6 Cl 2.48-2.54
Ag 0.2500 0.2500 0.2500  4 Cl 2.50
Cl 0.3885 0.3885 0.3885  3 Cu 2.48, 1 Ag 2.50
Cl 0.3885 0.3885 0.8345  3 Cu 2.48, 1 Ag 2.50
Cl 0.3885 0.8345 0.3885  3 Cu 2.48, 1 Ag 2.50
Cl 0.3932 0.8689 0.8689  4 Cu 2.37-2.54
Cl 0.8345 0.3885 0.3885  3 Cu 2.48, 1 Ag 2.50
Cl 0.8689 0.3932 0.8689  4 Cu 2.37-2.54
Cl 0.8689 0.8689 0.3932  4 Cu 2.37-2.54
Cl 0.8689 0.8689 0.8689  4 Cu 2.37-2.54

Output
ρ in g/cm3: 4.14
Formation energy without anion corrections in eV per atom: -0.425
Symmetry: F-43m (216)
Calculated volume in A^3/atom: 20.326

=====

[4]
Entry from the Alexandria database: a relaxed CuAg2Cl6 crystal (PBE-GGA).

a b c (Å): 9.5017 9.5017 6.7595
angles (deg): 108.52 108.52 105.03
Last column: nearest neighbours and their distance in Å.
Positions (direct):
Cu 0.1796 0.8204 0.7500  4 Cl 2.25
Cu 0.8204 0.1796 0.2500  4 Cl 2.25
Ag 0.2815 0.4612 0.3924  4 Cl 2.42-2.50
Ag 0.4612 0.2815 0.8924  4 Cl 2.42-2.50
Ag 0.5388 0.7185 0.1076  4 Cl 2.42-2.50
Ag 0.7185 0.5388 0.6076  4 Cl 2.42-2.50
Cl 0.0350 0.2181 0.1674  1 Cu 2.25, 1 Ag 2.42
Cl 0.1344 0.6348 0.4069  1 Cu 2.25, 1 Ag 2.42
Cl 0.2181 0.0350 0.6674  1 Cu 2.25, 1 Ag 2.42
Cl 0.3023 0.4513 0.8915  2 Ag 2.48-2.50
Cl 0.3652 0.8656 0.0931  1 Cu 2.25, 1 Ag 2.42
Cl 0.4513 0.3023 0.3915  2 Ag 2.48-2.50
Cl 0.5487 0.6977 0.6085  2 Ag 2.48-2.50
Cl 0.6348 0.1344 0.9069  1 Cu 2.25, 1 Ag 2.42
Cl 0.6977 0.5487 0.1085  2 Ag 2.48-2.50
Cl 0.7819 0.9650 0.3326  1 Cu 2.25, 1 Ag 2.42
Cl 0.8656 0.3652 0.5931  1 Cu 2.25, 1 Ag 2.42
Cl 0.9650 0.7819 0.8326  1 Cu 2.25, 1 Ag 2.42

Output
ρ in g/cm3: 3.25
Relative energy among the computed polymorphs in meV/atom: 18
Formation energy without anion corrections in eV per atom: -0.376
Symmetry: C2/c (15)
Calculated volume in A^3/atom: 27.929

=====

[5]
Entry from the Alexandria database: a relaxed CuAgCl crystal (PBE-GGA).

a b c (Å): 4.4169 4.4169 3.1771
angles (deg): 90.00 90.00 120.00
Last column: nearest neighbours and their distance in Å.
Positions (direct):
Cu 0.0000 0.0000 0.0000  3 Cl 2.55
Ag 0.6667 0.3333 0.5000  6 Cu 3.00, 6 Cl 3.00, 2 Ag 3.18
Cl 0.3333 0.6667 0.0000  3 Cu 2.55

Output
ρ in g/cm3: 6.40
Relative energy among the computed polymorphs in meV/atom: 305
Formation energy without anion corrections in eV per atom: 0.217
Symmetry: P-6m2 (187)
Calculated volume in A^3/atom: 17.892

=====

[6]
Entry from the Alexandria database: a relaxed DyCuAgCl5 crystal (PBE-GGA).

a b c (Å): 7.2467 7.2467 9.7684
angles (deg): 101.65 101.65 116.82
Last column: nearest neighbours and their distance in Å.
Positions (direct):
Dy 0.0000 0.5000 0.0000  6 Cl 2.66-2.67
Dy 0.5000 0.0000 0.5000  6 Cl 2.66-2.67
Cu 0.0370 0.9630 0.7500  4 Cl 2.34-2.36
Cu 0.9630 0.0370 0.2500  4 Cl 2.34-2.36
Ag 0.3348 0.6652 0.7500  4 Cl 2.60-2.77
Ag 0.6652 0.3348 0.2500  4 Cl 2.60-2.77
Cl 0.1303 0.8059 0.5599  1 Cu 2.36
Cl 0.1941 0.8697 0.9401  1 Cu 2.36
Cl 0.2005 0.3430 0.8542  1 Cu 2.34, 1 Ag 2.60
Cl 0.3345 0.6655 0.2500  2 Dy 2.66
Cl 0.3430 0.2005 0.3542  1 Cu 2.34, 1 Ag 2.60
Cl 0.6570 0.7995 0.6458  1 Cu 2.34, 1 Ag 2.60
Cl 0.6655 0.3345 0.7500  2 Dy 2.66
Cl 0.7995 0.6570 0.1458  1 Cu 2.34, 1 Ag 2.60
Cl 0.8059 0.1303 0.0599  1 Cu 2.36
Cl 0.8697 0.1941 0.4401  1 Cu 2.36

Output
ρ in g/cm3: 4.02
Formation energy without anion corrections in eV per atom: -1.321
Symmetry: C2/c (15)
Calculated volume in A^3/atom: 26.401

=====

[7]
Entry from the Alexandria database: a relaxed ErCuAg2Cl6 crystal (PBE-GGA).

a b c (Å): 6.8089 6.8463 6.9308
angles (deg): 60.81 66.20 77.98
Last column: nearest neighbours and their distance in Å.
Positions (direct):
Er 0.0000 0.0000 0.0000  6 Cl 2.61-2.70
Cu 0.3683 0.3469 0.1352  3 Cl 2.26-2.32
Ag 0.0304 0.6735 0.6487  6 Cl 2.70-3.00
Ag 0.6680 0.3312 0.4866  4 Cl 2.55-2.75
Cl 0.2265 0.0331 0.2142  1 Cu 2.27
Cl 0.2369 0.3157 0.5850  1 Er 2.68, 2 Ag 2.70-2.75, 1 Cu 2.78
Cl 0.2494 0.6835 0.9112  1 Cu 2.26
Cl 0.7296 0.3232 0.0816  1 Cu 2.32
Cl 0.7635 0.7087 0.4118  2 Ag 2.55-2.81, 1 Er 2.61
Cl 0.7630 0.9689 0.7996  2 Ag 2.55-2.74, 1 Er 2.61

Output
ρ in g/cm3: 4.24
Formation energy without anion corrections in eV per atom: -1.147
Symmetry: P1 (1)
Calculated volume in A^3/atom: 25.804

=====

[8]
Entry from the Alexandria database: a relaxed CuAg2Cl2F crystal (PBE-GGA).

a b c (Å): 7.4496 7.4496 5.7683
angles (deg): 90.00 90.00 48.68
Last column: nearest neighbours and their distance in Å.
Positions (direct):
Cu 0.1987 0.8013 0.5000  2 F 2.21-2.27, 2 Cl 2.23
Cu 0.8013 0.1987 0.0000  2 F 2.21-2.27, 2 Cl 2.23
Ag 0.2891 0.5000 0.9133  1 F 2.38, 2 Cl 2.57-2.60
Ag 0.5000 0.2891 0.4133  1 F 2.38, 2 Cl 2.57-2.60
Ag 0.5000 0.7109 0.9133  1 F 2.38, 2 Cl 2.57-2.60
Ag 0.7109 0.5000 0.4133  1 F 2.38, 2 Cl 2.57-2.60
Cl 0.0582 0.6149 0.5255  1 Cu 2.23
Cl 0.3851 0.9418 0.5255  1 Cu 2.23
Cl 0.6149 0.0582 0.0255  1 Cu 2.23
Cl 0.9418 0.3851 0.0255  1 Cu 2.23
F 0.1456 0.8544 0.1108  2 Cu 2.21-2.27, 2 Ag 2.38
F 0.8544 0.1456 0.6108  2 Cu 2.21-2.27, 2 Ag 2.38

Output
ρ in g/cm3: 5.10
Formation energy without anion corrections in eV per atom: -0.618
Symmetry: Cmc2_1 (36)
Calculated volume in A^3/atom: 20.036